(1)
{"formula": "RbTb2Ag2Se4", "functional": "PBE", "state": "relaxed", "formation_energy_uncorrected_ev_per_atom": -1.075, "magnetic_moment_mub_per_cell": 0.00, "total_energy_ev_per_cell": -39.54, "dos_at_fermi_per_ev_atom": 0.40, "lattice": [[3.912, 0.000, 0.000], [-1.956, 7.669, -0.587], [0.000, -3.173, 7.881]], "species": ["Rb", "Tb", "Tb", "Ag", "Ag", "Se", "Se", "Se", "Se"], "frac_coords": [[0.000, 0.000, 0.000], [0.873, 0.747, 0.445], [0.127, 0.253, 0.555], [0.301, 0.601, 0.955], [0.699, 0.399, 0.045], [0.779, 0.559, 0.694], [0.221, 0.441, 0.306], [0.465, 0.930, 0.291], [0.535, 0.070, 0.709]]}

=====

(2)
{"formula": "RbTb2AgSe4", "functional": "PBE", "state": "relaxed", "formation_energy_uncorrected_ev_per_atom": -1.470, "magnetic_moment_mub_per_cell": 0.00, "total_energy_ev_per_cell": -77.56, "lattice": [[-0.974, -3.990, 1.048], [2.683, -0.238, -6.986], [13.757, -1.954, 5.350]], "species": ["Rb", "Rb", "Tb", "Tb", "Tb", "Tb", "Ag", "Ag", "Se", "Se", "Se", "Se", "Se", "Se", "Se", "Se"], "frac_coords": [[0.119, 0.238, 0.750], [0.881, 0.762, 0.250], [0.369, 0.738, 0.567], [0.631, 0.262, 0.067], [0.631, 0.262, 0.433], [0.369, 0.738, 0.933], [0.837, 0.674, 0.750], [0.163, 0.326, 0.250], [0.262, 0.524, 0.101], [0.738, 0.476, 0.601], [0.738, 0.476, 0.899], [0.262, 0.524, 0.399], [0.000, 0.000, 0.500], [0.000, 0.000, 0.000], [0.443, 0.886, 0.750], [0.557, 0.114, 0.250]]}

=====

(3)
{"formula": "RbAg2TeSe", "functional": "PBE", "state": "relaxed", "formation_energy_uncorrected_ev_per_atom": -0.417, "magnetic_moment_mub_per_cell": 0.00, "total_energy_ev_per_cell": -30.77, "dos_at_fermi_per_ev_atom": 0.74, "lattice": [[6.444, 0.000, 0.000], [0.000, 6.534, 0.000], [0.000, -3.267, 6.875]], "species": ["Rb", "Rb", "Ag", "Ag", "Ag", "Ag", "Te", "Te", "Se", "Se"], "frac_coords": [[0.750, 0.752, 0.504], [0.250, 0.248, 0.496], [0.500, 0.265, 0.000], [0.000, 0.735, 0.000], [0.500, 0.735, 0.000], [0.000, 0.265, 0.000], [0.250, 0.883, 0.766], [0.750, 0.117, 0.234], [0.250, 0.616, 0.231], [0.750, 0.384, 0.769]]}

=====

(4)
{"formula": "RbAgTe2Se4", "functional": "PBE", "state": "relaxed", "formation_energy_uncorrected_ev_per_atom": -0.234, "magnetic_moment_mub_per_cell": 0.00, "total_energy_ev_per_cell": -25.92, "dos_at_fermi_per_ev_atom": 0.30, "lattice": [[7.239, 0.000, 0.000], [3.619, 6.105, -1.409], [3.619, -0.725, 6.223]], "species": ["Rb", "Ag", "Te", "Te", "Se", "Se", "Se", "Se"], "frac_coords": [[0.000, 0.000, 0.000], [0.000, 0.500, 0.500], [0.500, 0.749, 0.251], [0.500, 0.251, 0.749], [0.578, 0.558, 0.866], [0.422, 0.134, 0.442], [0.001, 0.442, 0.134], [0.999, 0.866, 0.558]]}

=====

(5)
{"formula": "RbAgTeSe3", "functional": "PBE", "state": "relaxed", "formation_energy_uncorrected_ev_per_atom": -0.345, "magnetic_moment_mub_per_cell": 0.00, "total_energy_ev_per_cell": -38.97, "dos_at_fermi_per_ev_atom": 0.22, "lattice": [[-3.345, 1.402, 2.118], [1.825, -6.962, 3.327], [6.679, 5.159, 7.132]], "species": ["Rb", "Rb", "Ag", "Ag", "Te", "Te", "Se", "Se", "Se", "Se", "Se", "Se"], "frac_coords": [[0.743, 0.486, 0.750], [0.257, 0.514, 0.250], [0.448, 0.895, 0.750], [0.552, 0.105, 0.250], [0.000, 0.000, 0.500], [0.000, 0.000, 0.000], [0.625, 0.251, 0.467], [0.375, 0.749, 0.533], [0.375, 0.749, 0.967], [0.625, 0.251, 0.033], [0.060, 0.120, 0.750], [0.940, 0.880, 0.250]]}

=====

(6)
{"formula": "RbAg2Te2Se6", "functional": "PBE", "state": "relaxed", "formation_energy_uncorrected_ev_per_atom": -0.154, "magnetic_moment_mub_per_cell": 0.00, "total_energy_ev_per_cell": -35.56, "dos_at_fermi_per_ev_atom": 0.40, "lattice": [[-2.339, -6.232, 4.243], [9.100, -8.538, 2.107], [-3.526, 5.245, 3.081]], "species": ["Rb", "Ag", "Ag", "Te", "Te", "Se", "Se", "Se", "Se", "Se", "Se"], "frac_coords": [[0.500, 0.000, 0.500], [0.024, 0.727, 0.729], [0.976, 0.273, 0.271], [0.771, 0.440, 0.943], [0.229, 0.560, 0.057], [0.410, 0.584, 0.840], [0.090, 0.374, 0.124], [0.062, 0.898, 0.678], [0.910, 0.626, 0.876], [0.938, 0.102, 0.322], [0.590, 0.416, 0.160]]}

=====

(7)
{"formula": "Rb2Ag2TeSe4", "functional": "PBE", "state": "relaxed", "formation_energy_uncorrected_ev_per_atom": -0.472, "magnetic_moment_mub_per_cell": 0.00, "total_energy_ev_per_cell": -28.96, "dos_at_fermi_per_ev_atom": 0.18, "lattice": [[4.322, 0.000, 0.000], [-2.161, 8.046, -0.043], [0.000, -2.833, 7.612]], "species": ["Rb", "Rb", "Ag", "Ag", "Te", "Se", "Se", "Se", "Se"], "frac_coords": [[0.862, 0.724, 0.429], [0.138, 0.276, 0.571], [0.311, 0.623, 0.015], [0.689, 0.377, 0.985], [0.000, 0.000, 0.000], [0.812, 0.623, 0.811], [0.188, 0.377, 0.189], [0.487, 0.974, 0.228], [0.513, 0.026, 0.772]]}

=====

(8)
{"formula": "Rb3Th3AgSe8", "functional": "PBE", "state": "relaxed", "formation_energy_uncorrected_ev_per_atom": -1.432, "magnetic_moment_mub_per_cell": 0.00, "total_energy_ev_per_cell": -77.37, "lattice": [[8.651, 0.000, 0.000], [-4.325, 7.490, -0.029], [0.000, -4.964, 8.088]], "species": ["Rb", "Rb", "Rb", "Th", "Th", "Th", "Ag", "Se", "Se", "Se", "Se", "Se", "Se", "Se", "Se"], "frac_coords": [[0.000, 0.000, 0.000], [0.000, 0.500, 0.000], [0.500, 0.500, 0.000], [0.500, 0.000, 0.500], [0.500, 0.500, 0.500], [0.000, 0.500, 0.500], [0.000, 0.000, 0.500], [0.265, 0.531, 0.296], [0.735, 0.469, 0.704], [0.762, 0.524, 0.307], [0.238, 0.476, 0.693], [0.761, 0.045, 0.306], [0.239, 0.955, 0.694], [0.283, 0.045, 0.306], [0.717, 0.955, 0.694]]}

=====

(9)
{"formula": "Rb2ThAgSe4", "functional": "PBE", "state": "relaxed", "formation_energy_uncorrected_ev_per_atom": -1.078, "magnetic_moment_mub_per_cell": 1.39, "total_energy_ev_per_cell": -69.54, "dos_at_fermi_per_ev_atom": 0.49, "lattice": [[-1.214, 5.322, -7.400], [-8.382, -3.764, -0.349], [2.527, 3.779, 7.439]], "species": ["Rb", "Rb", "Rb", "Rb", "Th", "Th", "Ag", "Ag", "Se", "Se", "Se", "Se", "Se", "Se", "Se", "Se"], "frac_coords": [[0.500, 0.000, 0.000], [0.500, 0.000, 0.500], [0.000, 0.000, 0.500], [0.500, 0.500, 0.000], [0.000, 0.500, 0.000], [0.000, 0.500, 0.500], [0.500, 0.500, 0.500], [0.000, 0.000, 0.000], [0.223, 0.705, 0.964], [0.795, 0.277, 0.536], [0.205, 0.723, 0.464], [0.777, 0.295, 0.036], [0.778, 0.722, 0.942], [0.778, 0.722, 0.558], [0.222, 0.278, 0.442], [0.222, 0.278, 0.058]]}

=====

(10)
{"formula": "Rb4Th3AgSe8", "functional": "PBE", "state": "relaxed", "formation_energy_uncorrected_ev_per_atom": -1.402, "magnetic_moment_mub_per_cell": 0.00, "total_energy_ev_per_cell": -79.28, "dos_at_fermi_per_ev_atom": 0.42, "lattice": [[-3.942, -7.735, -0.181], [3.519, -1.993, 8.541], [-4.678, 7.277, -0.796]], "species": ["Rb", "Rb", "Rb", "Rb", "Th", "Th", "Th", "Ag", "Se", "Se", "Se", "Se", "Se", "Se", "Se", "Se"], "frac_coords": [[0.500, 0.000, 0.000], [0.500, 0.000, 0.500], [0.000, 0.000, 0.000], [0.000, 0.000, 0.500], [0.500, 0.500, 0.000], [0.500, 0.500, 0.500], [0.000, 0.500, 0.500], [0.000, 0.500, 0.000], [0.238, 0.699, 0.961], [0.238, 0.699, 0.477], [0.266, 0.297, 0.531], [0.723, 0.699, 0.961], [0.277, 0.301, 0.039], [0.734, 0.703, 0.469], [0.762, 0.301, 0.523], [0.762, 0.301, 0.039]]}

=====

(11)
{"formula": "RbTh2AgSe5", "functional": "PBE", "state": "relaxed", "formation_energy_uncorrected_ev_per_atom": -1.400, "magnetic_moment_mub_per_cell": 0.00, "total_energy_ev_per_cell": -97.37, "lattice": [[8.240, 0.000, 0.000], [0.000, 8.240, 0.000], [-4.120, -4.120, 7.777]], "species": ["Rb", "Rb", "Th", "Th", "Th", "Th", "Ag", "Ag", "Se", "Se", "Se", "Se", "Se", "Se", "Se", "Se", "Se", "Se"], "frac_coords": [[0.250, 0.250, 0.500], [0.750, 0.750, 0.500], [0.163, 0.337, 0.000], [0.663, 0.163, 0.000], [0.337, 0.837, 0.000], [0.837, 0.663, 0.000], [0.250, 0.750, 0.500], [0.750, 0.250, 0.500], [0.973, 0.473, 0.235], [0.738, 0.238, 0.765], [0.027, 0.527, 0.765], [0.238, 0.027, 0.765], [0.527, 0.738, 0.765], [0.762, 0.973, 0.235], [0.473, 0.262, 0.235], [0.262, 0.762, 0.235], [0.500, 0.500, 0.000], [0.000, 0.000, 0.000]]}

=====

(12)
{"formula": "RbTh2Ag2Se6", "functional": "PBE", "state": "relaxed", "formation_energy_uncorrected_ev_per_atom": -1.067, "magnetic_moment_mub_per_cell": 0.00, "total_energy_ev_per_cell": -54.16, "dos_at_fermi_per_ev_atom": 0.67, "lattice": [[-3.870, -6.155, -2.294], [3.358, -7.189, 0.435], [-6.749, 1.991, 4.918]], "species": ["Rb", "Th", "Th", "Ag", "Ag", "Se", "Se", "Se", "Se", "Se", "Se"], "frac_coords": [[0.500, 0.000, 0.500], [0.836, 0.341, 0.839], [0.164, 0.659, 0.161], [0.343, 0.623, 0.737], [0.657, 0.377, 0.263], [0.404, 0.807, 0.064], [0.972, 0.420, 0.162], [0.210, 0.795, 0.539], [0.028, 0.580, 0.838], [0.790, 0.205, 0.461], [0.596, 0.193, 0.936]]}